Model P:
The following is a PBE calculation of a geometry-optimized ScCrCd3 structure, from the Alexandria database.

abc: 5.4988 5.4988 5.4988
angles: 90.00 90.00 90.00
Last column: nearest neighbours and their distance in Å.
Atoms (fractional coordinates):
Cd 0.5000 0.0000 0.0000  2 Sc 2.75
Cd 0.0000 0.0000 0.5000  2 Sc 2.75
Cd 0.0000 0.5000 0.0000  2 Sc 2.75
Sc 0.0000 0.0000 0.0000  6 Cd 2.75
Cr 0.5000 0.5000 0.5000  12 Cd 3.89



Model Q:
The following is a PBE calculation of a geometry-optimized ScCrCd3 structure, from the Alexandria database.

abc: 4.9708 4.9708 4.9708
angles: 90.00 90.00 90.00
Last column: nearest neighbours and their distance in Å.
Atoms (fractional coordinates):
Cd 0.0000 0.5000 0.0000  2 Cr 2.49
Cd 0.5000 0.0000 0.0000  2 Cr 2.49
Cd 0.0000 0.0000 0.5000  2 Cr 2.49
Cr 0.0000 0.0000 0.0000  6 Cd 2.49
Sc 0.5000 0.5000 0.5000  12 Cd 3.51



model Q is the most stable structure; the next one sits 24.0 kJ/mol of atoms above it.



Model P:
The following is a PBE calculation of a geometry-optimized Cr3CdSe structure, from the Alexandria database.

abc: 5.0680 5.0680 5.0680
angles: 90.00 90.00 90.00
Last column: nearest neighbours and their distance in Å.
Atoms (fractional coordinates):
Cr 0.0000 0.0000 0.5000  2 Cd 2.53
Cr 0.0000 0.5000 0.0000  2 Cd 2.53
Cr 0.5000 0.0000 0.0000  2 Cd 2.53
Se 0.5000 0.5000 0.5000  12 Cr 3.58
Cd 0.0000 0.0000 0.0000  6 Cr 2.53



Model Q:
The following is a PBE calculation of a geometry-optimized Cr3CdSe structure, from the Alexandria database.

abc: 4.4044 4.4044 4.4044
angles: 90.00 90.00 90.00
Last column: nearest neighbours and their distance in Å.
Atoms (fractional coordinates):
Cr 0.0000 0.5000 0.0000  2 Se 2.20
Cr 0.0000 0.0000 0.5000  2 Se 2.20
Cr 0.5000 0.0000 0.0000  2 Se 2.20
Cd 0.5000 0.5000 0.5000  12 Cr 3.11
Se 0.0000 0.0000 0.0000  6 Cr 2.20



model Q is the most stable structure; the next one sits 46.6 kJ/mol of atoms above it.